1.
Entry from Alexandria: a relaxed ZrZn4Pt crystal (PBE-GGA).

Output
**Space group**: F-43m (216)
**Theoretical density**: 9.755 g/cm³
**Spin magnetization**: 0.3119 μB/atom
**Energy of formation from the pure elements**: -1.56 eV per formula unit

```
ZrZn4Pt
1.0
0.0000 3.5994 3.5994
3.5994 0.0000 3.5994
3.5994 3.5994 0.0000
Zr Zn Pt
1 4 1
Cartesian
0.0000 0.0000 0.0000
2.6986 2.6986 2.6986
4.5003 4.5003 2.6986
4.5003 2.6986 4.5003
2.6986 4.5003 4.5003
5.3992 5.3992 5.3992
```


2.
Entry from Alexandria: a relaxed Tm2Co3B6 crystal (PBE-GGA).

Output
**Space group**: Cmmm (65)
**Theoretical density**: 8.571 g/cm³
**Spin magnetization**: 0.0000 μB/atom
**Energy of formation from the pure elements**: -6.29 eV per formula unit

```
Tm2Co3B6
1.0
3.8176 -4.2525 0.0000
3.8176 4.2525 0.0000
0.0000 0.0000 3.4580
Tm Co B
2 3 6
Cartesian
3.8176 2.3741 0.0000
3.8176 -2.3741 0.0000
2.1234 0.0000 0.0000
3.8176 0.0000 1.7290
5.5118 0.0000 0.0000
0.8539 0.0000 1.7290
2.0522 1.2550 1.7290
2.0522 -1.2550 1.7290
5.5829 1.2550 1.7290
5.5829 -1.2550 1.7290
6.7813 0.0000 1.7290
```